1.
# Sr2LiZnCu6

Sr2LiZnCu6 after structural relaxation (GGA-PBE, Alexandria via LeMat-Bulk).

Lattice parameters (Å, degrees): 4.9291 6.7891 6.8233 80.04 69.06 68.73
With the nearest neighbours (Å) after each atom.
Space group P-1 (No. 2)
Asymmetric unit:
Sr 0.2488 0.1974 0.3055 (multiplicity 2)  9 Cu 3.23-3.53, 2 Zn 3.39-3.40, 2 Li 3.41-3.42
Li 0.0000 0.0000 0.0000 (multiplicity 1)  6 Cu 2.56-2.80
Zn 0.5000 0.5000 0.5000 (multiplicity 1)  4 Cu 2.48-2.49
Cu 0.2223 0.2813 0.7706 (multiplicity 2)  4 Cu 2.45-2.48, 1 Zn 2.49, 1 Li 2.56
Cu 0.2489 0.5658 0.9362 (multiplicity 2)  6 Cu 2.46-2.72
Cu 0.2749 0.7191 0.2296 (multiplicity 2)  4 Cu 2.45-2.48, 1 Zn 2.48, 1 Li 2.56

Values from the calculation:
volume: 19.8 Å³/atom
formation enthalpy at 0 K: -0.6 eV per formula unit
DFT total energy: -31.7 eV/cell

---

2.
# SrLiZn2Cu

SrLiZn2Cu after structural relaxation (GGA-PBE, Alexandria via LeMat-Bulk).

Lattice parameters (Å, degrees): 4.7559 4.7559 4.8271 90.00 90.00 90.00
With the nearest neighbours (Å) after each atom.
Space group P4/mmm (No. 123)
Asymmetric unit:
Sr 0.0000 0.0000 0.0000 (multiplicity 1)  4 Li 3.36, 8 Zn 3.39
Li 0.5000 0.5000 0.0000 (multiplicity 1)  2 Cu 2.41
Zn 0.0000 0.5000 0.5000 (multiplicity 2)  2 Cu 2.38
Cu 0.5000 0.5000 0.5000 (multiplicity 1)  4 Zn 2.38, 2 Li 2.41

Values from the calculation:
volume: 21.8 Å³/atom
formation enthalpy at 0 K: -0.4 eV per formula unit
DFT total energy: -10.6 eV/cell

---

3.
# Sr2LiZn3Cu12

Sr2LiZn3Cu12 after structural relaxation (GGA-PBE, Alexandria via LeMat-Bulk).

Lattice parameters (Å, degrees): 6.3291 6.3291 27.1012 90.00 90.00 120.00
With the nearest neighbours (Å) after each atom.
Space group R-3m (No. 166, hexagonal axes)
Asymmetric unit:
Sr 0.0000 0.0000 0.1525 (multiplicity 6)  6 Cu 3.17-3.29
Li 0.0000 0.0000 0.5000 (multiplicity 3)  6 Cu 2.52
Zn 0.0000 0.5000 0.0000 (multiplicity 9)  6 Cu 2.44-2.49
Cu 0.0689 0.5344 0.0906 (multiplicity 18)  1 Zn 2.49, 4 Cu 2.50-2.51, 1 Li 2.52
Cu 0.0742 0.5371 0.6185 (multiplicity 18)  2 Zn 2.44, 4 Cu 2.46-2.50

Values from the calculation:
volume: 17.4 Å³/atom
formation enthalpy at 0 K: 2.8 eV per formula unit
DFT total energy: -166.4 eV/cell

---

4.
# Sr2Li3ZnCu12

Sr2Li3ZnCu12 after structural relaxation (GGA-PBE, Alexandria via LeMat-Bulk).

Lattice parameters (Å, degrees): 6.1401 6.1401 27.8644 90.00 90.00 120.00
With the nearest neighbours (Å) after each atom.
Space group R-3m (No. 166, hexagonal axes)
Asymmetric unit:
Sr 0.0000 0.0000 0.1491 (multiplicity 6)  12 Cu 3.12-3.46
Li 0.0000 0.5000 0.0000 (multiplicity 9)  6 Cu 2.41-2.60
Zn 0.0000 0.0000 0.5000 (multiplicity 3)  6 Cu 2.52
Cu 0.0606 0.5303 0.0926 (multiplicity 18)  4 Cu 2.45-2.51, 1 Zn 2.52, 1 Li 2.60
Cu 0.0719 0.5360 0.6180 (multiplicity 18)  4 Cu 2.41-2.45, 2 Li 2.41

Values from the calculation:
volume: 16.8 Å³/atom
formation enthalpy at 0 K: 2.5 eV per formula unit
DFT total energy: -171.2 eV/cell

---

5.
# Li2TaCu

Li2TaCu after structural relaxation (GGA-PBE, Alexandria via LeMat-Bulk).

Lattice parameters (Å, degrees): 6.0667 6.0667 6.0667 90.00 90.00 90.00
With the nearest neighbours (Å) after each atom.
Space group F-43m (No. 216)
Asymmetric unit:
Li 0.0000 0.0000 0.0000 (multiplicity 4)  4 Cu 2.63, 4 Li 2.63
Li 0.2500 0.2500 0.2500 (multiplicity 4)  4 Li 2.63, 4 Ta 2.63
Ta 0.0000 0.0000 0.5000 (multiplicity 4)  4 Li 2.63, 4 Cu 2.63
Cu 0.2500 0.2500 0.7500 (multiplicity 4)  4 Ta 2.63, 4 Li 2.63

Values from the calculation:
polymorph energy (0 for the lowest one): 211 meV/atom
volume: 14.0 Å³/atom
formation enthalpy at 0 K: 1.6 eV per formula unit
DFT total energy: -72.7 eV/cell

---

6.
# LiTa2Cu

LiTa2Cu after structural relaxation (GGA-PBE, Alexandria via LeMat-Bulk).

Lattice parameters (Å, degrees): 2.7762 2.7762 8.4309 90.00 90.00 90.00
With the nearest neighbours (Å) after each atom.
Space group P4mm (No. 99)
Asymmetric unit:
Li 0.0000 0.0000 0.0000 (multiplicity 1)  4 Cu 2.66, 4 Li 2.78
Ta 0.0000 0.0000 0.5566 (multiplicity 1)  4 Cu 2.76, 8 Ta 2.78-3.02
Ta 0.5000 0.5000 0.2851 (multiplicity 1)  8 Ta 2.78-3.02, 4 Li 3.10
Cu 0.5000 0.5000 0.7873 (multiplicity 1)  4 Li 2.66, 4 Ta 2.76, 4 Cu 2.78

Values from the calculation:
polymorph energy (0 for the lowest one): 12 meV/atom
volume: 16.2 Å³/atom
formation enthalpy at 0 K: 0.7 eV per formula unit
DFT total energy: -29.0 eV/cell